[1]
Compound: Sr2Sn2Au15
Source: Alexandria via LeMat-Bulk
Functional: PBE
Structure: relaxed

Cell and atoms, written as POSCAR:
```
Sr2Sn2Au15
1.0
7.427 -0.066 -0.059
0.898 7.373 -0.059
0.898 0.789 7.331
Au Sr Sn
15 2 2
Direct
0.168 0.659 0.659
0.832 0.341 0.341
0.674 0.000 0.326
0.341 0.341 0.832
0.326 0.000 0.674
0.000 0.500 0.000
0.000 0.000 0.500
0.659 0.168 0.659
0.326 0.674 0.000
0.000 0.674 0.326
0.000 0.326 0.674
0.659 0.659 0.168
0.500 0.000 0.000
0.674 0.326 0.000
0.341 0.832 0.341
0.651 0.651 0.651
0.349 0.349 0.349
0.900 0.900 0.900
0.100 0.100 0.100
```

Calculated values
The value obtained for the density of states at the Fermi level is 8.6 states/eV/f.u. The calculation puts the theoretical density at 13.9 Mg/m³. The value obtained for the total energy is -3.482 eV/atom. The value obtained for the volume is 21.19 Å³/atom.

---

[2]
Compound: Sr2Sn2Au
Source: Alexandria via LeMat-Bulk
Functional: PBE
Structure: relaxed

Cell and atoms, written as POSCAR:
```
Sr2Sn2Au
1.0
8.712 0.000 0.000
0.000 8.712 0.000
0.000 0.000 4.742
Sn Sr Au
4 4 2
Direct
0.389 0.111 0.500
0.889 0.389 0.500
0.611 0.889 0.500
0.111 0.611 0.500
0.684 0.184 0.000
0.184 0.316 0.000
0.816 0.684 0.000
0.316 0.816 0.000
0.500 0.500 0.000
0.000 0.000 0.000
```

Calculated values
The value obtained for the density of states at the Fermi level is 1.7 states/eV/f.u. The calculation puts the theoretical density at 5.6 Mg/m³. The value obtained for the total energy is -3.324 eV/atom. The value obtained for the volume is 35.99 Å³/atom.

---

[3]
Compound: Sr2SnAu
Source: Alexandria via LeMat-Bulk
Functional: PBE
Structure: relaxed

Cell and atoms, written as POSCAR:
```
Sr2SnAu
1.0
-3.644 0.246 1.124
-0.074 -3.776 0.585
2.516 1.174 7.901
Sn Sr Au
1 2 1
Direct
0.500 0.500 0.500
0.000 0.000 0.766
0.000 0.000 0.234
0.500 0.500 0.000
```

Calculated values
The value obtained for the density of states at the Fermi level is 1.5 states/eV/f.u. The calculation puts the theoretical density at 6.7 Mg/m³. The value obtained for the total energy is -3.348 eV/atom. The value obtained for the volume is 30.58 Å³/atom.

---

[4]
Compound: SrSn6Au12
Source: Alexandria via LeMat-Bulk
Functional: PBE
Structure: relaxed

Cell and atoms, written as POSCAR:
```
SrSn6Au12
1.0
7.982 -0.107 -0.151
-2.082 7.706 -0.151
-2.082 -2.682 7.226
Au Sn Sr
12 6 1
Direct
0.135 0.367 0.367
0.889 0.500 0.111
0.367 0.135 0.367
0.500 0.111 0.889
0.111 0.500 0.889
0.500 0.889 0.111
0.889 0.111 0.500
0.865 0.633 0.633
0.633 0.865 0.633
0.111 0.889 0.500
0.367 0.367 0.135
0.633 0.633 0.865
0.290 0.711 0.290
0.710 0.289 0.710
0.290 0.290 0.711
0.711 0.290 0.290
0.289 0.710 0.710
0.710 0.710 0.289
0.000 0.000 0.000
```

Calculated values
The value obtained for the density of states at the Fermi level is 7.7 states/eV/f.u. The calculation puts the theoretical density at 12.0 Mg/m³. The value obtained for the total energy is -3.563 eV/atom. The value obtained for the volume is 22.97 Å³/atom.

---

[5]
Compound: Sr2Sn2Au5
Source: Alexandria via LeMat-Bulk
Functional: PBE
Structure: relaxed

Cell and atoms, written as POSCAR:
```
Sr2Sn2Au5
1.0
-4.694 -0.177 -1.355
0.210 1.349 7.917
-0.968 6.817 2.461
Au Sn Sr
5 2 2
Direct
0.091 0.183 0.562
0.000 0.000 0.000
0.668 0.336 0.281
0.909 0.817 0.438
0.332 0.664 0.719
0.137 0.274 0.138
0.863 0.726 0.862
0.339 0.678 0.251
0.661 0.322 0.749
```

Calculated values
The value obtained for the density of states at the Fermi level is 4.2 states/eV/f.u. The calculation puts the theoretical density at 9.9 Mg/m³. The value obtained for the total energy is -3.570 eV/atom. The value obtained for the volume is 26.17 Å³/atom.

---

[6]
Compound: Sr2Sn3Au9
Source: Alexandria via LeMat-Bulk
Functional: PBE
Structure: relaxed

Cell and atoms, written as POSCAR:
```
Sr2Sn3Au9
1.0
7.828 -0.168 -3.256
-4.700 7.058 0.057
0.219 0.265 11.336
Au Sr Sn
18 4 6
Direct
0.882 0.875 0.575
0.201 0.693 0.075
0.542 0.052 0.262
0.799 0.307 0.925
0.290 0.280 0.238
0.126 0.984 0.932
0.458 0.665 0.896
0.120 0.870 0.250
0.710 0.720 0.762
0.458 0.948 0.738
0.880 0.130 0.750
0.118 0.125 0.425
0.269 0.561 0.604
0.731 0.439 0.396
0.449 0.806 0.432
0.542 0.335 0.104
0.874 0.016 0.068
0.551 0.194 0.568
0.997 0.586 0.745
0.003 0.414 0.255
0.659 0.748 0.245
0.341 0.252 0.755
0.196 0.372 0.992
0.120 0.795 0.492
0.880 0.205 0.508
0.804 0.628 0.008
0.500 0.000 0.000
0.500 0.500 0.500
```

Calculated values
The value obtained for the density of states at the Fermi level is 5.5 states/eV/f.u. The calculation puts the theoretical density at 12.2 Mg/m³. The value obtained for the total energy is -3.612 eV/atom. The value obtained for the volume is 22.37 Å³/atom.